DFT (PBE-GGA) results for Rb2CdSi2O6 after structural relaxation. Values from VASP.

Calculated values
* crystal system: monoclinic
* DFT total energy: -5.9303 eV per atom
* space-group type: C2/m, No. 12
* uncorrected formation energy: -1.981 eV per atom

Structure (Quantum ESPRESSO input):
```
&SYSTEM
  ibrav = 0, nat = 11, ntyp = 4
/
ATOMIC_SPECIES
Rb 85.47 Rb.upf
O 16.00 O.upf
Si 28.09 Si.upf
Cd 112.41 Cd.upf
ATOMIC_POSITIONS crystal
Rb 0.297 0.593 0.880
O 0.246 0.493 0.296
Si 0.913 0.826 0.721
O 0.773 0.005 0.259
O 0.754 0.507 0.704
Rb 0.703 0.407 0.120
O 0.232 0.005 0.259
O 0.768 0.995 0.741
Si 0.087 0.174 0.279
O 0.227 0.995 0.741
Cd 0.500 0.000 0.500
CELL_PARAMETERS angstrom
5.946 0.000 0.000
-2.973 5.116 -0.053
0.000 -3.003 6.270
```